DFT (GGA-PBE) results for a relaxed structure of LaB2I.

Values from the calculation:
Volume (Å³ per atom): 19.68
ΔE to the lowest computed polymorph (kcal/mol of atoms): 2.43

Cell and atoms, written as extended XYZ:
```
4
Lattice="0.000 3.402 3.402 3.402 0.000 3.402 3.402 3.402 0.000" Properties=species:S:1:pos:R:3 pbc="T T T"
La 0.000 0.000 0.000
B 1.701 1.701 1.701
B 5.103 5.103 5.103
I 3.402 3.402 3.402
```